Record 1
VASP calculation (PBE) on Ac6La2PmSm3 after structural relaxation.

Lattice parameters (Å, degrees): 6.690 6.690 12.494 95.11 95.11 120.03
Fractional positions:
Pm: 0.000 0.000 0.000
Sm: 0.167 0.833 0.500
Sm: 0.833 0.167 0.500
Sm: 0.500 0.500 0.500
Ac: 0.249 0.249 0.747
Ac: 0.418 0.084 0.253
Ac: 0.582 0.916 0.747
Ac: 0.916 0.582 0.747
Ac: 0.751 0.751 0.253
Ac: 0.084 0.418 0.253
La: 0.333 0.667 0.000
La: 0.667 0.333 0.000

Crystal system   monoclinic
Energy relative to the elements   29 meV per atom
Space-group type   No. 12
Total moment   0.00 μB per atom

***

Record 2
VASP calculation (PBE) on Ti6BeZn after structural relaxation.

Lattice parameters (Å, degrees): 5.525 5.525 5.621 104.12 104.12 117.58
Each line ends with the local moment (μB).
Fractional positions:
Zn: 0.000 0.000 0.000  0.01
Ti: 0.741 0.741 0.267  0.89
Ti: 0.061 0.491 0.260  0.05
Ti: 0.509 0.939 0.740  0.05
Ti: 0.259 0.259 0.733  0.89
Ti: 0.491 0.061 0.260  0.05
Ti: 0.939 0.509 0.740  0.05
Be: 0.500 0.500 0.500  0.04

Crystal system   monoclinic
ΔE to the lowest computed polymorph   2.76 eV per formula unit
Energy relative to the elements   286 meV per atom
Space-group type   No. 12
Total moment   0.30 μB per atom

***

Record 3
VASP calculation (PBE) on Pr3Sm2Tm5 after structural relaxation.

Lattice parameters (Å, degrees): 9.360 9.352 11.190 124.57 124.58 69.06
Fractional positions:
Sm: 0.766 0.017 0.737
Sm: 0.234 0.983 0.263
Sm: 0.471 0.720 0.737
Sm: 0.529 0.280 0.263
Pr: 0.766 0.016 0.032
Pr: 0.272 0.522 0.747
Pr: 0.728 0.478 0.253
Pr: 0.975 0.224 0.747
Pr: 0.025 0.776 0.253
Pr: 0.234 0.984 0.968
Tm: 0.472 0.722 0.445
Tm: 0.974 0.224 0.448
Tm: 0.365 0.118 0.724
Tm: 0.860 0.607 0.724
Tm: 0.728 0.478 0.956
Tm: 0.140 0.393 0.276
Tm: 0.528 0.278 0.555
Tm: 0.026 0.776 0.552
Tm: 0.272 0.522 0.044
Tm: 0.635 0.882 0.276

Crystal system   monoclinic
Energy relative to the elements   183 meV per atom
Space-group type   No. 15
Total moment   0.00 μB per atom

***

Record 4
VASP calculation (PBE) on GaCuN2F after structural relaxation.

Lattice parameters (Å, degrees): 3.780 3.780 4.021 90.00 90.00 90.00
Each line ends with the local moment (μB).
Fractional positions:
Ga: 0.500 0.500 0.500  -0.03
N: 0.000 0.500 0.000  0.45
N: 0.500 0.000 0.000  0.45
Cu: 0.000 0.000 0.000  0.13
F: 0.000 0.000 0.500  0.02

Crystal system   tetragonal
ΔE to the lowest computed polymorph   0.66 eV per formula unit
Space-group type   No. 123
Total moment   0.27 μB per atom

***

Number 3 is which compound?
Pr3Sm2Tm5

***

Which value of total moment does entry 1 give?
0.00 μB per atom

***

Repeat the third record exactly.
VASP calculation (PBE) on Pr3Sm2Tm5 after structural relaxation.

Lattice parameters (Å, degrees): 9.360 9.352 11.190 124.57 124.58 69.06
Fractional positions:
Sm: 0.766 0.017 0.737
Sm: 0.234 0.983 0.263
Sm: 0.471 0.720 0.737
Sm: 0.529 0.280 0.263
Pr: 0.766 0.016 0.032
Pr: 0.272 0.522 0.747
Pr: 0.728 0.478 0.253
Pr: 0.975 0.224 0.747
Pr: 0.025 0.776 0.253
Pr: 0.234 0.984 0.968
Tm: 0.472 0.722 0.445
Tm: 0.974 0.224 0.448
Tm: 0.365 0.118 0.724
Tm: 0.860 0.607 0.724
Tm: 0.728 0.478 0.956
Tm: 0.140 0.393 0.276
Tm: 0.528 0.278 0.555
Tm: 0.026 0.776 0.552
Tm: 0.272 0.522 0.044
Tm: 0.635 0.882 0.276

Crystal system   monoclinic
Energy relative to the elements   183 meV per atom
Space-group type   No. 15
Total moment   0.00 μB per atom